An optimized crystal structure of RbCaNi2, computed with PBE.

a b c (Å): 10.0072 10.0072 10.0072
angles (deg): 150.96 150.96 41.54
With the nearest neighbours (Å) after each atom.
Sites, in units of the cell vectors:
Rb 0.3750 0.6250 0.7500  4 Ca 3.55, 8 Ni 3.65
Rb 0.6250 0.3750 0.2500  4 Ca 3.55, 8 Ni 3.65
Ca 0.1250 0.8750 0.2500  4 Ni 2.65
Ca 0.8750 0.1250 0.7500  4 Ni 2.65
Ni 0.0000 0.0000 0.0000  2 Ni 2.51, 2 Ca 2.65
Ni 0.0000 0.0000 0.5000  2 Ni 2.51, 2 Ca 2.65
Ni 0.0000 0.5000 0.0000  2 Ni 2.51, 2 Ca 2.65
Ni 0.5000 0.0000 0.5000  2 Ni 2.51, 2 Ca 2.65

Values from the calculation:
Energy of formation (eV/atom): 0.660
Space-group type: I4_1/amd
Relative energy among the computed polymorphs (eV/atom): 0.000
Theoretical density (g/cm3): 3.42



An optimized crystal structure of RbCa3Ni, computed with PBE.

a b c (Å): 5.7691 5.7691 5.7691
angles (deg): 90.00 90.00 90.00
With the nearest neighbours (Å) after each atom.
Sites, in units of the cell vectors:
Rb 0.0000 0.0000 0.0000  12 Ca 4.08
Ca 0.0000 0.5000 0.5000  2 Ni 2.88
Ca 0.5000 0.0000 0.5000  2 Ni 2.88
Ca 0.5000 0.5000 0.0000  2 Ni 2.88
Ni 0.5000 0.5000 0.5000  6 Ca 2.88

Values from the calculation:
Energy of formation (eV/atom): 0.061
Space-group type: Pm-3m
Relative energy among the computed polymorphs (eV/atom): 0.000
Theoretical density (g/cm3): 2.29



An optimized crystal structure of RbCa2Ni2, computed with PBE.

a b c (Å): 8.7233 8.7233 3.3765
angles (deg): 90.00 90.00 90.00
With the nearest neighbours (Å) after each atom.
Sites, in units of the cell vectors:
Rb 0.0000 0.0000 0.0000  2 Rb 3.38, 4 Ca 3.39, 8 Ni 3.74
Rb 0.5000 0.5000 0.0000  2 Rb 3.38, 4 Ca 3.39, 8 Ni 3.74
Ca 0.1352 0.3648 0.0000  6 Ni 2.98-3.18
Ca 0.3648 0.8648 0.0000  6 Ni 2.98-3.18
Ca 0.6352 0.1352 0.0000  6 Ni 2.98-3.18
Ca 0.8648 0.6352 0.0000  6 Ni 2.98-3.18
Ni 0.1459 0.6459 0.5000  6 Ca 2.98-3.18
Ni 0.3541 0.1459 0.5000  6 Ca 2.98-3.18
Ni 0.6459 0.8541 0.5000  6 Ca 2.98-3.18
Ni 0.8541 0.3541 0.5000  6 Ca 2.98-3.18

Values from the calculation:
Energy of formation (eV/atom): 0.317
Space-group type: P4/mbm
Relative energy among the computed polymorphs (eV/atom): 0.068
Theoretical density (g/cm3): 3.66